Record 1
Here is SnAu17 after structural relaxation from OQMD via LeMat-Bulk. Energies are from PBE.

Unit cell a=5.7967 b=5.7967 c=32.8990 alpha=90.00 beta=90.00 gamma=120.00
With the nearest neighbours (Å) after each atom.
Element x y z (fractional)
Au  0.6667  0.8333  0.5000  12 Au 2.90-2.96
Au  0.6667  0.3333  0.5000  12 Au 2.90-2.96
Au  0.0000  0.0000  0.3509  12 Au 2.90-2.98
Au  0.8334  0.6667  0.1988  7 Au 2.90-3.06, 2 Sn 2.90
Au  0.0000  0.5000  0.8011  7 Au 2.90-3.06, 2 Sn 2.91
Au  0.8329  0.1671  0.6484  12 Au 2.89-2.99
Au  0.5005  0.4995  0.3516  12 Au 2.89-2.99
Au  0.3333  0.1666  0.1988  7 Au 2.90-3.06, 2 Sn 2.90
Sn  0.0000  0.0000  0.8072  9 Au 2.91-3.21
Au  0.6667  0.3333  0.2766  12 Au 2.90-3.06
Au  0.8334  0.1666  0.1988  7 Au 2.90-3.06, 2 Sn 2.90
Au  0.3333  0.6667  0.4256  12 Au 2.90-2.96
Au  0.3333  0.1666  0.4257  12 Au 2.90-2.98
Au  0.6650  0.8325  0.2762  11 Au 2.88-3.05, 1 Sn 3.21
Au  0.8334  0.1666  0.4257  12 Au 2.90-2.98
Au  0.6683  0.8342  0.7238  11 Au 2.88-3.05, 1 Sn 3.21
Au  0.5005  0.0009  0.3516  12 Au 2.89-2.99
Au  0.1675  0.8325  0.2762  11 Au 2.88-3.05, 1 Sn 3.21
Au  0.8329  0.6658  0.6484  12 Au 2.89-2.99
Au  0.3333  0.6667  0.6491  12 Au 2.90-2.98
Au  0.3342  0.1671  0.6484  12 Au 2.89-2.99
Au  0.5000  0.5000  0.8011  7 Au 2.90-3.06, 2 Sn 2.91
Au  0.5000  0.5000  0.5743  12 Au 2.90-2.98
Au  0.0000  0.0000  0.5744  12 Au 2.90-2.96
Au  0.1667  0.8333  0.5000  12 Au 2.90-2.96
Au  0.1667  0.3333  0.5000  12 Au 2.90-2.96
Au  0.5000  0.0000  0.8011  7 Au 2.90-3.06, 2 Sn 2.91
Sn  0.3333  0.6667  0.1929  9 Au 2.90-3.21
Au  0.1658  0.8342  0.7238  11 Au 2.88-3.05, 1 Sn 3.21
Au  0.5000  0.0000  0.5743  12 Au 2.90-2.98
Au  0.0000  0.5000  0.5743  12 Au 2.90-2.98
Au  0.9991  0.4995  0.3516  12 Au 2.89-2.99
Au  0.1658  0.3317  0.7238  11 Au 2.88-3.05, 1 Sn 3.21
Au  0.1675  0.3350  0.2762  11 Au 2.88-3.05, 1 Sn 3.21
Au  0.8334  0.6667  0.4257  12 Au 2.90-2.98
Au  0.6667  0.3333  0.7234  12 Au 2.90-3.06

Calculated values
**Uncorrected energy**: -3.28 eV per atom

Record 2
Here is SnAu17 after structural relaxation from OQMD via LeMat-Bulk. Energies are from PBE.

Unit cell a=10.0526 b=5.8434 c=34.0591 alpha=90.00 beta=90.04 gamma=90.00
With the nearest neighbours (Å) after each atom.
Element x y z (fractional)
Au  0.1666  0.0000  0.5714  12 Au 2.90-2.96
Au  0.1669  0.0000  0.7875  7 Au 2.90-3.01, 2 Sn 2.94
Au  0.8331  0.0000  0.4998  12 Au 2.91-2.96
Sn  0.1664  0.5000  0.7965  9 Au 2.93-3.24
Au  0.8319  0.5000  0.7151  11 Au 2.88-3.01, 1 Sn 3.22
Au  0.2505  0.7503  0.6428  12 Au 2.90-2.98
Au  0.8317  0.0000  0.2856  11 Au 2.87-2.98
Au  0.7507  0.2496  0.2131  7 Au 2.86-3.03, 2 Sn 2.97-2.99
Au  0.3295  0.0000  0.2859  12 Au 2.92-3.06
Au  0.6647  0.0000  0.3574  12 Au 2.91-2.97
Au  0.6668  0.5000  0.5715  12 Au 2.91-2.96
Au  0.0781  0.7515  0.2826  10 Au 2.87-3.05, 2 Sn 3.02-3.15
Au  0.5808  0.2500  0.2864  12 Au 2.91-3.03
Sn  0.0069  0.5000  0.2082  2 Sn 2.93, 7 Au 2.97-3.19
Au  0.2633  0.2495  0.2117  7 Au 2.85-3.05, 2 Sn 2.96-2.97
Au  0.0830  0.2503  0.4998  12 Au 2.90-2.97
Au  0.5833  0.2501  0.4999  12 Au 2.91-2.96
Au  0.4985  0.0000  0.4284  12 Au 2.90-2.96
Au  0.9995  0.5000  0.6428  12 Au 2.90-2.98
Au  0.9167  0.7525  0.7879  7 Au 2.89-3.02, 2 Sn 2.93
Au  0.7503  0.7503  0.6427  12 Au 2.90-2.98
Au  0.4168  0.7505  0.5712  12 Au 2.90-2.97
Au  0.3326  0.0000  0.4998  12 Au 2.90-2.97
Au  0.8333  0.5000  0.5001  12 Au 2.90-2.96
Au  0.2489  0.7497  0.4280  12 Au 2.90-2.98
Au  0.4168  0.2495  0.5712  12 Au 2.90-2.97
Au  0.9150  0.2499  0.3572  12 Au 2.89-3.03
Au  0.7503  0.2497  0.6427  12 Au 2.90-2.98
Au  0.2489  0.2503  0.4280  12 Au 2.90-2.98
Au  0.2633  0.7505  0.2117  7 Au 2.85-3.05, 2 Sn 2.96-2.97
Au  0.5838  0.2530  0.7147  11 Au 2.88-3.01, 1 Sn 3.23
Au  0.9150  0.7501  0.3572  12 Au 2.89-3.03
Au  0.9170  0.2495  0.5714  12 Au 2.90-2.97
Au  0.4165  0.7525  0.7881  7 Au 2.89-3.02, 2 Sn 2.93
Au  0.4995  0.5000  0.6427  12 Au 2.90-2.99
Au  0.4135  0.7499  0.3570  12 Au 2.91-2.97
Au  0.8337  0.0000  0.7141  12 Au 2.92-3.02
Au  0.3292  0.5000  0.2858  12 Au 2.92-3.05
Au  0.4135  0.2501  0.3570  12 Au 2.91-2.97
Au  0.9167  0.2475  0.7879  7 Au 2.89-3.02, 2 Sn 2.93
Au  0.0781  0.2485  0.2826  10 Au 2.87-3.05, 2 Sn 3.02-3.15
Au  0.7490  0.2502  0.4285  12 Au 2.91-2.96
Au  0.7507  0.7504  0.2131  7 Au 2.86-3.03, 2 Sn 2.97-2.99
Au  0.4165  0.2475  0.7881  7 Au 2.89-3.02, 2 Sn 2.93
Au  0.5005  0.0000  0.6432  12 Au 2.90-2.97
Au  0.6665  0.0000  0.5714  12 Au 2.90-2.96
Au  0.9170  0.7505  0.5714  12 Au 2.90-2.97
Au  0.4985  0.5000  0.4285  12 Au 2.90-2.97
Au  0.0830  0.7497  0.4998  12 Au 2.90-2.97
Au  0.6671  0.0000  0.7874  7 Au 2.90-3.01, 2 Sn 2.94
Sn  0.0081  0.0000  0.2032  2 Sn 2.93, 6 Au 2.96-3.15
Au  0.3321  0.5000  0.7153  11 Au 2.88-3.01
Au  0.5065  0.0000  0.2130  9 Au 2.85-3.06
Au  0.9996  0.5000  0.4283  12 Au 2.90-2.96
Au  0.6644  0.5000  0.3574  12 Au 2.91-2.96
Au  0.5063  0.5000  0.2131  9 Au 2.85-3.05
Au  0.7490  0.7498  0.4285  12 Au 2.91-2.96
Au  0.0006  0.0000  0.6433  12 Au 2.90-2.97
Sn  0.6664  0.5000  0.7959  9 Au 2.93-3.23
Au  0.8311  0.5000  0.2859  11 Au 2.89-2.99, 1 Sn 3.19
Au  0.5838  0.7470  0.7147  11 Au 2.88-3.01, 1 Sn 3.23
Au  0.1669  0.5000  0.5716  12 Au 2.91-2.97
Au  0.9995  0.0000  0.4284  12 Au 2.90-2.96
Au  0.5833  0.7499  0.4999  12 Au 2.91-2.96
Au  0.1630  0.0000  0.3561  12 Au 2.89-3.02
Au  0.3327  0.5000  0.5001  12 Au 2.90-2.98
Au  0.0840  0.7469  0.7147  11 Au 2.88-3.01
Au  0.1630  0.5000  0.3560  12 Au 2.89-3.02
Au  0.2505  0.2497  0.6428  12 Au 2.90-2.98
Au  0.3339  0.0000  0.7142  12 Au 2.91-3.02
Au  0.5808  0.7500  0.2864  12 Au 2.91-3.03
Au  0.0840  0.2531  0.7147  11 Au 2.88-3.01

Calculated values
**Uncorrected energy**: -3.27 eV per atom

Record 3
Here is SrSn3Au3 after structural relaxation from OQMD via LeMat-Bulk. Energies are from PBE.

Unit cell a=4.6927 b=7.7680 c=9.4449 alpha=90.00 beta=90.00 gamma=90.00
With the nearest neighbours (Å) after each atom.
Element x y z (fractional)
Sn  0.5000  0.5000  0.1178  7 Au 2.90-2.95
Au  0.5000  0.7759  0.9114  4 Sn 2.77-2.93, 2 Au 2.91
Au  0.5000  0.5000  0.4300  7 Sn 2.88-2.95
Sn  0.0000  0.7066  0.3811  4 Au 2.77-2.89
Au  0.0000  0.2759  0.0886  4 Sn 2.77-2.93, 2 Au 2.91
Sn  0.0000  0.2934  0.3811  4 Au 2.77-2.89
Sn  0.5000  0.2066  0.6189  4 Au 2.77-2.89
Au  0.0000  0.7241  0.0886  4 Sn 2.77-2.93, 2 Au 2.91
Sn  0.5000  0.7934  0.6189  4 Au 2.77-2.89
Sn  0.0000  0.0000  0.8822  7 Au 2.90-2.95
Au  0.5000  0.2241  0.9114  4 Sn 2.77-2.93, 2 Au 2.91
Au  0.0000  0.0000  0.5700  7 Sn 2.88-2.95
Sr  0.5000  0.0000  0.2185  6 Au 3.38-3.41, 4 Sn 3.61
Sr  0.0000  0.5000  0.7815  6 Au 3.38-3.41, 4 Sn 3.61

Calculated values
**Uncorrected energy**: -3.79 eV per atom

Record 4
Here is Sr2SnAu after structural relaxation from OQMD via LeMat-Bulk. Energies are from PBE.

Unit cell a=5.4492 b=5.4492 c=5.4492 alpha=60.00 beta=60.00 gamma=60.00
With the nearest neighbours (Å) after each atom.
Element x y z (fractional)
Sn  0.2500  0.2500  0.2500  4 Au 3.34, 4 Sr 3.34
Sr  0.0000  0.0000  0.0000  4 Sr 3.34, 4 Sn 3.34
Au  0.5000  0.5000  0.5000  4 Sn 3.34, 4 Sr 3.34
Sr  0.7500  0.7500  0.7500  4 Sr 3.34, 4 Au 3.34

Calculated values
**Uncorrected energy**: -3.00 eV per atom

> Look up the uncorrected energy of the first one.

-3.28 eV per atom

> Which formula does entry 4 have?

Sr2SnAu

What did the third record say?
Here is SrSn3Au3 after structural relaxation from OQMD via LeMat-Bulk. Energies are from PBE.

Unit cell a=4.6927 b=7.7680 c=9.4449 alpha=90.00 beta=90.00 gamma=90.00
With the nearest neighbours (Å) after each atom.
Element x y z (fractional)
Sn  0.5000  0.5000  0.1178  7 Au 2.90-2.95
Au  0.5000  0.7759  0.9114  4 Sn 2.77-2.93, 2 Au 2.91
Au  0.5000  0.5000  0.4300  7 Sn 2.88-2.95
Sn  0.0000  0.7066  0.3811  4 Au 2.77-2.89
Au  0.0000  0.2759  0.0886  4 Sn 2.77-2.93, 2 Au 2.91
Sn  0.0000  0.2934  0.3811  4 Au 2.77-2.89
Sn  0.5000  0.2066  0.6189  4 Au 2.77-2.89
Au  0.0000  0.7241  0.0886  4 Sn 2.77-2.93, 2 Au 2.91
Sn  0.5000  0.7934  0.6189  4 Au 2.77-2.89
Sn  0.0000  0.0000  0.8822  7 Au 2.90-2.95
Au  0.5000  0.2241  0.9114  4 Sn 2.77-2.93, 2 Au 2.91
Au  0.0000  0.0000  0.5700  7 Sn 2.88-2.95
Sr  0.5000  0.0000  0.2185  6 Au 3.38-3.41, 4 Sn 3.61
Sr  0.0000  0.5000  0.7815  6 Au 3.38-3.41, 4 Sn 3.61

Calculated values
**Uncorrected energy**: -3.79 eV per atom